Computed, not measured: crystalline TbSm5Er2Tm at its relaxed geometry at the PBE level of DFT.

The space group is Cmc2_1 (No. 36) and the conventional cell measures 5.601, 20.151 and 10.640 Å, with angles of 90.00, 90.00 and 90.00 degrees. Symmetry generates all atoms from Tb at (0.000, 0.199, 0.000), Sm at (0.000, 0.017, 0.010), Sm at (0.000, 0.281, 0.299), Sm at (0.000, 0.299, 0.696), Sm at (0.000, 0.388, 0.012), Sm at (0.000, 0.482, 0.732), Er at (0.000, 0.111, 0.729), Er at (0.000, 0.114, 0.302) and Tm at (0.000, 0.410, 0.451).

As for the formation enthalpy at 0 K: 0.148 eV per atom. The calculation puts the density of states at the Fermi level at 1.618 states/eV/atom.